(1)
Below is an optimized crystal structure of Si2SeBr, with properties calculated at the PBE level.

The crystal system is orthorhombic. The distance to the lowest polymorph of the same formula comes out at 500 meV/atom. The final energy comes out at -28.6 eV for the cell shown. Its uncorrected formation energy is 41.2 kJ/mol of atoms.

The space group is Immm (No. 71) and the conventional cell measures 3.6280, 6.3978 and 8.0162 Å, with angles of 90.00, 90.00 and 90.00 degrees. Symmetry generates all atoms from Si at (0.0000, 0.0000, 0.2271), Se at (0.0000, 0.5000, 0.5000) and Br at (0.0000, 0.5000, 0.0000).



(2)
Below is an optimized crystal structure of Ca2MgCu3, with properties calculated at the PBE level.

The formation energy comes out at -81.7 meV per atom. The crystal system is hexagonal. The distance to the lowest polymorph of the same formula comes out at 0 meV/atom. The final energy comes out at -36.8 eV for the cell shown.

The space group is P6_3/mmc (No. 194) and the conventional cell measures 5.6437, 5.6437 and 8.6435 Å, with angles of 90.00, 90.00 and 120.00 degrees. Symmetry generates all atoms from Ca at (0.3333, 0.6667, 0.0622), Mg at (0.0000, 0.0000, 0.0000) and Cu at (0.1766, 0.3533, 0.7500).



(3)
Below is an optimized crystal structure of NdErAl2Au4, with properties calculated at the PBE level.

The formation energy comes out at -699.3 meV per atom. The crystal system is trigonal. The final energy comes out at -106.6 eV for the cell shown.

The space group is R-3m (No. 166, hexagonal axes) and the conventional cell measures 4.5974, 4.5974 and 27.3520 Å, with angles of 90.00, 90.00 and 120.00 degrees. Symmetry generates all atoms from Nd at (0.0000, 0.0000, 0.0000), Er at (0.0000, 0.0000, 0.5000), Al at (0.0000, 0.0000, 0.2442), Au at (0.0000, 0.0000, 0.1165) and Au at (0.0000, 0.0000, 0.3925).



(4)
Below is an optimized crystal structure of Tb5PmSm, with properties calculated at the PBE level.

The formation energy comes out at 184.3 meV per atom. The crystal system is monoclinic. The distance to the lowest polymorph of the same formula comes out at 0 meV/atom. The final energy comes out at -125.3 eV for the cell shown.

The space group is C2/c (No. 15) and the conventional cell measures 11.7968, 6.8120 and 12.2229 Å, with angles of 90.00, 109.98 and 90.00 degrees. Symmetry generates all atoms from Tb at (0.0000, 0.0867, 0.2500), Tb at (0.0776, 0.2309, 0.9997), Tb at (0.2196, 0.1359, 0.7496), Pm at (0.0000, 0.4729, 0.7500) and Sm at (0.2500, 0.2500, 0.5000).



(5)
Below is an optimized crystal structure of V3Re2W4, with properties calculated at the PBE level.

The formation energy comes out at -168.7 meV per atom. The crystal system is trigonal. The final energy comes out at -105.6 eV for the cell shown.

The space group is P-3m1 (No. 164) and the conventional cell measures 4.4067, 4.4067 and 8.0292 Å, with angles of 90.00, 90.00 and 120.00 degrees. Symmetry generates all atoms from V at (0.0000, 0.0000, 0.0000), V at (0.3333, 0.6667, 0.5523), Re at (0.3333, 0.6667, 0.2247), W at (0.0000, 0.0000, 0.3347) and W at (0.3333, 0.6667, 0.8884).



(6)
Below is an optimized crystal structure of K2HgMo, with properties calculated at the PBE level.

The formation energy comes out at 1023.5 meV per atom. The crystal system is orthorhombic. The final energy comes out at -18.5 eV for the cell shown.

The space group is Immm (No. 71) and the conventional cell measures 4.9736, 4.9938 and 10.9321 Å, with angles of 90.00, 90.00 and 90.00 degrees. Symmetry generates all atoms from K at (0.0000, 0.0000, 0.2502), Hg at (0.0000, 0.5000, 0.0000) and Mo at (0.0000, 0.5000, 0.5000).



(7)
Below is an optimized crystal structure of LiPuBeO4, with properties calculated at the PBE level.

The crystal system is orthorhombic. The final energy comes out at -226.4 eV for the cell shown. Its uncorrected formation energy is -231.6 kJ/mol of atoms.

The space group is Cmcm (No. 63) and the conventional cell measures 5.4215, 8.0291 and 6.6174 Å, with angles of 90.00, 90.00 and 90.00 degrees. Symmetry generates all atoms from Li at (0.0000, 0.0000, 0.0000), Pu at (0.0000, 0.2804, 0.2500), Be at (0.0000, 0.3756, 0.7500), O at (0.0000, 0.2546, 0.5436) and O at (0.2471, 0.4781, 0.7500).



(8)
Below is an optimized crystal structure of Zr4SnPt, with properties calculated at the PBE level.

The formation energy comes out at -299.6 meV per atom. The crystal system is monoclinic. The final energy comes out at -184.1 eV for the cell shown.

The space group is C2/c (No. 15) and the conventional cell measures 15.0594, 5.4385 and 7.0730 Å, with angles of 90.00, 103.53 and 90.00 degrees. Symmetry generates all atoms from Zr at (0.0756, 0.1211, 0.4394), Zr at (0.1700, 0.3598, 0.1219), Sn at (0.0000, 0.3833, 0.7500) and Pt at (0.2500, 0.2500, 0.5000).